1.
Cr3GaNi12: relaxed, PBE.

Cell lengths 3.551, 3.551, 14.251 Å; angles 90.00, 90.00, 90.00 degrees
Last column: magnetic moment on the atom in μB.
Sites, in units of the cell vectors:
1 Cr 0.000 0.000 0.250  1.91
2 Cr 0.000 0.000 0.500  2.29
3 Cr 0.000 0.000 0.750  1.91
4 Ni 0.000 0.500 0.375  -0.05
5 Ni 0.500 0.500 0.251  -0.05
6 Ni 0.500 0.500 0.500  -0.05
7 Ni 0.000 0.500 0.872  -0.08
8 Ni 0.500 0.500 0.000  -0.07
9 Ni 0.500 0.000 0.128  -0.08
10 Ni 0.500 0.000 0.375  -0.05
11 Ni 0.500 0.000 0.872  -0.08
12 Ni 0.000 0.500 0.625  -0.05
13 Ni 0.000 0.500 0.128  -0.08
14 Ni 0.500 0.500 0.749  -0.05
15 Ni 0.500 0.000 0.625  -0.05
16 Ga 0.000 0.000 0.000  0.00

Results
Formation energy from the elements   -0.087 eV/atom

=====

2.
CrGaNi: relaxed, PBE.

Cell lengths 4.269, 4.639, 11.649 Å; angles 77.80, 90.00, 90.00 degrees
Last column: magnetic moment on the atom in μB.
Sites, in units of the cell vectors:
1 Cr 0.250 0.271 0.632  -0.80
2 Cr 0.250 0.201 0.823  -0.24
3 Cr 0.750 0.729 0.368  -0.80
4 Cr 0.250 0.715 0.715  1.86
5 Cr 0.750 0.799 0.177  -0.24
6 Cr 0.750 0.285 0.285  1.86
7 Ga 0.250 0.964 0.266  0.00
8 Ga 0.750 0.036 0.734  0.00
9 Ga 0.250 0.381 0.403  -0.01
10 Ga 0.250 0.645 0.942  -0.01
11 Ga 0.750 0.355 0.058  -0.01
12 Ga 0.750 0.619 0.597  -0.01
13 Ni 0.250 0.839 0.485  -0.04
14 Ni 0.750 0.951 0.946  -0.01
15 Ni 0.250 0.049 0.054  -0.01
16 Ni 0.750 0.161 0.515  -0.04
17 Ni 0.750 0.494 0.838  0.09
18 Ni 0.250 0.506 0.162  0.09

Results
Formation energy from the elements   -0.077 eV/atom